[1]
Crystalline SrTcHg2 at its relaxed geometry. Source: the Alexandria database, functional PBEsol.

The value obtained for the energy above the most stable polymorph in this dataset is 173 meV per atom. The formation energy is 602.2 meV per atom. As for the symmetry: F-43m, No. 216.

a = 5.033 Å, b = 5.033 Å, c = 5.033 Å
α = 60.00°, β = 60.00°, γ = 60.00°
Fractional positions:
Sr 0.000 0.000 0.000
Tc 0.750 0.750 0.750
Hg 0.250 0.250 0.250
Hg 0.500 0.500 0.500

[2]
Crystalline ZrAgAu2 at its relaxed geometry. Source: the Alexandria database, functional PBEsol.

The value obtained for the energy above the most stable polymorph in this dataset is 0 meV per atom. The formation energy is -422.8 meV per atom. As for the symmetry: I4/mmm, No. 139.

a = 4.649 Å, b = 4.649 Å, c = 4.649 Å
α = 119.88°, β = 119.88°, γ = 90.21°
Fractional positions:
Zr 0.000 0.000 0.000
Ag 0.500 0.500 0.000
Au 0.250 0.750 0.500
Au 0.750 0.250 0.500

[3]
Crystalline BeW at its relaxed geometry. Source: the Alexandria database, functional PBEsol.

The value obtained for the energy above the most stable polymorph in this dataset is 698 meV per atom. The formation energy is 495.5 meV per atom. As for the symmetry: R-3m, No. 166.

a = 8.503 Å, b = 8.503 Å, c = 8.503 Å
α = 18.26°, β = 18.26°, γ = 18.26°
Fractional positions:
Be 0.131 0.131 0.131
Be 0.869 0.869 0.869
W 0.382 0.382 0.382
W 0.618 0.618 0.618